Material: MnPb2Cl
Method: DFT, meta-GGA SCAN
State: PBEsol geometry

Cell lengths 5.760, 5.760, 5.859 Å; angles 115.93, 115.93, 33.16 degrees
Positions (direct):
Mn 0.000 0.000 0.000
Pb 0.259 0.259 0.959
Pb 0.421 0.421 0.569
Cl 0.617 0.617 0.325

ΔE_f (raw) = -0.317 eV/atom
SG = No. 8
E above lowest polymorph = 0.0000 eV/atom